DFT (PBE-GGA) results for an optimized crystal structure of Ca3CuSi2.

Structure (POSCAR):
```
Ca3CuSi2
1.0
4.0164 0.0000 0.0000
0.0000 12.2916 0.0000
0.0000 0.0000 11.8727
Ca Cu Si
12 4 8
direct
0.2500 0.3759 0.0555
0.7500 0.6241 0.9445
0.7500 0.8759 0.4445
0.2500 0.1241 0.5555
0.2500 0.7012 0.2054
0.7500 0.2988 0.7946
0.7500 0.2012 0.2946
0.2500 0.7988 0.7054
0.2500 0.4451 0.3828
0.7500 0.5549 0.6172
0.7500 0.9451 0.1172
0.2500 0.0549 0.8828
0.2500 0.1280 0.1320
0.7500 0.8720 0.8680
0.7500 0.6280 0.3680
0.2500 0.3720 0.6320
0.2500 0.6843 0.4684
0.7500 0.3157 0.5316
0.7500 0.1843 0.0316
0.2500 0.8157 0.9684
0.2500 0.0163 0.3027
0.7500 0.9837 0.6973
0.7500 0.5163 0.1973
0.2500 0.4837 0.8027
```

Values from the calculation:
- volume (Å³/f.u.) = 147
- space-group type = Pnma
- energy (eV per atom) = -3.89

---

DFT (PBE-GGA) results for an optimized crystal structure of Ca3Cu3Si2.

Structure (POSCAR):
```
Ca3Cu3Si2
1.0
-1.2694 0.6733 5.5719
-3.0781 -7.0921 0.1557
12.9336 -5.5340 3.6153
Ca Cu Si
12 12 8
direct
0.1332 0.4686 0.3944
0.6332 0.0314 0.6056
0.8668 0.5314 0.8944
0.3668 0.9686 0.1056
0.8668 0.5314 0.6056
0.3668 0.9686 0.3944
0.1332 0.4686 0.1056
0.6332 0.0314 0.8944
0.6235 0.3326 0.2500
0.1235 0.1674 0.7500
0.3765 0.6674 0.7500
0.8765 0.8326 0.2500
0.0800 0.1751 0.2500
0.5800 0.3249 0.7500
0.9200 0.8249 0.7500
0.4200 0.6751 0.2500
0.6133 0.3290 0.4627
0.1133 0.1710 0.5373
0.3867 0.6710 0.9627
0.8867 0.8290 0.0373
0.3867 0.6710 0.5373
0.8867 0.8290 0.4627
0.6133 0.3290 0.0373
0.1133 0.1710 0.9627
0.8753 0.1237 0.4010
0.3753 0.3763 0.5990
0.1247 0.8763 0.9010
0.6247 0.6237 0.0990
0.1247 0.8763 0.5990
0.6247 0.6237 0.4010
0.8753 0.1237 0.0990
0.3753 0.3763 0.9010
```

Values from the calculation:
- volume (Å³/f.u.) = 162
- space-group type = Pnma
- energy (eV per atom) = -3.97

---

DFT (PBE-GGA) results for an optimized crystal structure of Ca3Cu2Si2.

Structure (POSCAR):
```
Ca3Cu2Si2
1.0
-0.1507 -2.7958 4.8358
1.4519 -6.8878 -3.9369
12.8488 1.8638 1.4778
Ca Cu Si
12 8 8
direct
0.1246 0.6204 0.1060
0.8754 0.3796 0.6060
0.8754 0.1204 0.3940
0.1246 0.8796 0.8940
0.8754 0.3796 0.8940
0.1246 0.6204 0.3940
0.1246 0.8796 0.6060
0.8754 0.1204 0.1060
0.3448 0.2614 0.2500
0.6552 0.7386 0.7500
0.6552 0.7614 0.2500
0.3448 0.2386 0.7500
0.6126 0.4721 0.0865
0.3874 0.5279 0.5865
0.3874 0.9721 0.4135
0.6126 0.0279 0.9135
0.3874 0.5279 0.9135
0.6126 0.4721 0.4135
0.6126 0.0279 0.5865
0.3874 0.9721 0.0865
0.3712 0.2500 0.0000
0.6288 0.7500 0.5000
0.6288 0.7500 0.0000
0.3712 0.2500 0.5000
0.8213 0.4133 0.2500
0.1787 0.5867 0.7500
0.1787 0.9133 0.2500
0.8213 0.0867 0.7500
```

Values from the calculation:
- volume (Å³/f.u.) = 147
- space-group type = Pbcm
- energy (eV per atom) = -3.97

---

DFT (PBE-GGA) results for an optimized crystal structure of CaCuSi4.

Structure (POSCAR):
```
CaCuSi4
1.0
0.0000 3.6739 3.6739
3.6739 0.0000 3.6739
3.6739 3.6739 0.0000
Ca Cu Si
1 1 4
direct
0.7500 0.7500 0.7500
0.0000 0.0000 0.0000
0.3736 0.8791 0.3736
0.8791 0.3736 0.3736
0.3736 0.3736 0.8791
0.3736 0.3736 0.3736
```

Values from the calculation:
- volume (Å³/f.u.) = 99
- space-group type = F-43m
- energy (eV per atom) = -4.50

---

Table of energy relative to the elements, uncorrected (eV per atom), in record order: -0.397, -0.330, -0.395, 0.127